The following is a GGA-PBE calculation of a geometry-optimized MgIn2Re structure, from Alexandria.

a = 7.844 Å, b = 7.844 Å, c = 5.783 Å
α = 90.00°, β = 90.00°, γ = 90.00°
Positions (direct):
Mg  0.000  0.000  0.000
Mg  0.000  0.500  0.250
Mg  0.500  0.000  0.750
Mg  0.500  0.500  0.500
In  0.219  0.250  0.625
In  0.250  0.719  0.875
In  0.250  0.781  0.375
In  0.281  0.250  0.125
In  0.719  0.750  0.125
In  0.750  0.219  0.375
In  0.750  0.281  0.875
In  0.781  0.750  0.625
Re  0.000  0.000  0.500
Re  0.000  0.500  0.750
Re  0.500  0.000  0.250
Re  0.500  0.500  0.000

E_form in eV per atom: 0.776
Density of states at the Fermi level in states/eV/atom: 0.672